AlOsRu2: relaxed, GGA-PBE.

a b c (Å): 8.7818 8.7818 8.7818
angles (deg): 17.99 17.99 17.99
With the nearest neighbours (Å) after each atom.
Atoms (fractional coordinates):
Os: 0.7505 0.7505 0.7505  3 Ru 2.69, 3 Al 2.69, 6 Os 2.75
Ru: 0.0000 0.0000 0.0000  3 Os 2.69, 9 Ru 2.70-2.75
Al: 0.5009 0.5009 0.5009  3 Ru 2.63, 3 Os 2.69, 6 Al 2.75
Ru: 0.2488 0.2488 0.2488  3 Al 2.63, 9 Ru 2.70-2.75

Values from the calculation:
size of the total moment: 0.000 μB per atom
DFT formation energy: -0.061 eV per atom

***

Ni2IrAu: relaxed, GGA-PBE.

a b c (Å): 4.7233 4.7233 4.7233
angles (deg): 133.28 133.28 68.22
With the nearest neighbours (Å) after each atom.
Atoms (fractional coordinates):
Au: 0.5000 0.5000 0.0000  8 Ni 2.65-2.71, 4 Ir 2.71
Ni: 0.0000 0.0000 0.0000  4 Au 2.65, 4 Ni 2.71, 4 Ir 2.71
Ni: 0.2500 0.7500 0.5000  4 Ir 2.65, 4 Au 2.71, 4 Ni 2.71
Ir: 0.7500 0.2500 0.5000  8 Ni 2.65-2.71, 4 Au 2.71

Values from the calculation:
size of the total moment: 0.495 μB per atom
energy relative to the lowest polymorph listed for this composition: 158.1 meV per atom
DFT formation energy: 0.229 eV per atom

***

TlP3: relaxed, GGA-PBE.

a b c (Å): 4.7030 4.7030 4.7030
angles (deg): 119.97 119.97 90.04
With the nearest neighbours (Å) after each atom.
Atoms (fractional coordinates):
P: 0.7500 0.2500 0.5000  4 Tl 2.88, 4 P 2.88
P: 0.2500 0.7500 0.5000  4 Tl 2.88, 4 P 2.88
P: 0.5000 0.5000 0.0000  8 P 2.88
Tl: 0.0000 0.0000 0.0000  8 P 2.88

Values from the calculation:
size of the total moment: 0.000 μB per atom
DFT formation energy: 0.839 eV per atom

***

CaGd2Hg: relaxed, GGA-PBE.

a b c (Å): 4.8918 4.8901 4.8901
angles (deg): 90.00 90.00 90.00
With the nearest neighbours (Å) after each atom.
Atoms (fractional coordinates):
Gd: 0.0000 0.0000 0.5000  4 Gd 3.46, 4 Ca 3.46, 4 Hg 3.46
Ca: 0.5000 0.0000 0.0000  4 Hg 3.46, 8 Gd 3.46
Gd: 0.0000 0.5000 0.0000  4 Gd 3.46, 4 Hg 3.46, 4 Ca 3.46
Hg: 0.5000 0.5000 0.5000  4 Ca 3.46, 8 Gd 3.46

Values from the calculation:
size of the total moment: 3.810 μB per atom
energy relative to the lowest polymorph listed for this composition: 43.4 meV per atom
DFT formation energy: -0.142 eV per atom

***

BaZn2Rh: relaxed, GGA-PBE.

a b c (Å): 5.0228 5.0228 5.0228
angles (deg): 119.97 119.97 90.06
With the nearest neighbours (Å) after each atom.
Atoms (fractional coordinates):
Rh: 0.7500 0.2500 0.5000  4 Zn 3.08, 4 Ba 3.08
Zn: 0.2500 0.7500 0.5000  4 Ba 3.08, 4 Zn 3.08
Zn: 0.0000 0.0000 0.0000  4 Rh 3.08, 4 Zn 3.08
Ba: 0.5000 0.5000 0.0000  4 Zn 3.08, 4 Rh 3.08

Values from the calculation:
size of the total moment: 0.000 μB per atom
DFT formation energy: 0.157 eV per atom

***

HfAlPt5: relaxed, GGA-PBE.

a b c (Å): 4.0226 4.0226 7.1251
angles (deg): 90.00 90.00 90.00
With the nearest neighbours (Å) after each atom.
Atoms (fractional coordinates):
Al: 0.5000 0.5000 0.0000  8 Pt 2.54
Pt: 0.5000 0.5000 0.5000  4 Hf 2.84, 8 Pt 2.85
Hf: 0.0000 0.0000 0.5000  12 Pt 2.84-2.85
Pt: 0.0000 0.5000 0.2174  2 Al 2.54
Pt: 0.5000 0.0000 0.2174  2 Al 2.54
Pt: 0.5000 0.0000 0.7826  2 Al 2.54
Pt: 0.0000 0.5000 0.7826  2 Al 2.54

Values from the calculation:
size of the total moment: 0.000 μB per atom
DFT formation energy: -0.986 eV per atom

***

Cs3Rb3Cl: relaxed, GGA-PBE.

a b c (Å): 9.8988 16.4775 16.4770
angles (deg): 90.00 90.00 90.00
With the nearest neighbours (Å) after each atom.
Atoms (fractional coordinates):
Rb: 0.5000 0.1031 0.3112  2 Rb 4.83-4.86, 5 Cs 4.95-5.16
Rb: 0.0000 0.8120 0.3969  2 Rb 4.83-4.86, 5 Cs 4.95-5.15
Cs: 0.5000 0.1894 0.6014  1 Cl 3.36
Rb: 0.0000 0.6034 0.6030  3 Rb 4.81-4.83, 4 Cs 4.95-5.07
Cs: 0.5000 0.8106 0.3986  1 Cl 3.36
Rb: 0.5000 0.6880 0.8969  2 Rb 4.83-4.86, 5 Cs 4.95-5.15
Cs: 0.5000 0.4024 0.4023  2 Cl 3.37
Cs: 0.0000 0.3106 0.1014  1 Cl 3.36
Rb: 0.0000 0.1880 0.6031  2 Rb 4.83-4.86, 5 Cs 4.95-5.15
Cl: 0.5000 0.6070 0.3932  4 Cs 3.36-3.37
Rb: 0.5000 0.3120 0.1031  2 Rb 4.83-4.86, 5 Cs 4.95-5.15
Cs: 0.0000 0.8983 0.6897  1 Cl 3.36
Cl: 0.5000 0.3930 0.6068  4 Cs 3.36-3.37
Rb: 0.5000 0.8966 0.1030  3 Rb 4.81-4.83, 4 Cs 4.95-5.07
Cs: 0.5000 0.5976 0.5977  2 Cl 3.37
Cs: 0.0000 0.1017 0.3103  1 Cl 3.36
Cl: 0.0000 0.1070 0.1068  4 Cs 3.36-3.37
Cl: 0.0000 0.8930 0.8932  4 Cs 3.36-3.37
Rb: 0.0000 0.6031 0.1888  2 Rb 4.83-4.86, 5 Cs 4.95-5.16
Rb: 0.5000 0.8969 0.6888  2 Rb 4.83-4.86, 5 Cs 4.95-5.16
Cs: 0.0000 0.0976 0.9023  2 Cl 3.37
Cs: 0.5000 0.6017 0.1897  1 Cl 3.36
Cs: 0.5000 0.3983 0.8103  1 Cl 3.36
Rb: 0.0000 0.3966 0.3970  3 Rb 4.81-4.83, 4 Cs 4.95-5.07
Rb: 0.0000 0.3969 0.8112  2 Rb 4.83-4.86, 5 Cs 4.95-5.16
Cs: 0.0000 0.6894 0.8986  1 Cl 3.36
Cs: 0.0000 0.9024 0.0977  2 Cl 3.37
Rb: 0.5000 0.1034 0.8970  3 Rb 4.81-4.83, 4 Cs 4.95-5.07

Values from the calculation:
size of the total moment: 0.000 μB per atom
formation energy from raw total energies: -304.7 kJ/mol of formula units

***

La2ErCd5: relaxed, GGA-PBE.

a b c (Å): 5.1803 5.1803 8.7172
angles (deg): 107.29 107.29 90.00
With the nearest neighbours (Å) after each atom.
Atoms (fractional coordinates):
La: 0.7379 0.7379 0.4758  8 Cd 3.28-3.53
Er: 0.0000 0.0000 0.0000  8 Cd 3.12
Cd: 0.8895 0.3895 0.7790  3 Cd 3.12-3.50, 2 Er 3.12, 2 La 3.28
Cd: 0.1105 0.6105 0.2210  3 Cd 3.12-3.50, 2 Er 3.12, 2 La 3.28
Cd: 0.3895 0.8895 0.7790  3 Cd 3.12-3.50, 2 Er 3.12, 2 La 3.28
Cd: 0.6105 0.1105 0.2210  3 Cd 3.12-3.50, 2 Er 3.12, 2 La 3.28
Cd: 0.5000 0.5000 0.0000  8 Cd 3.12
La: 0.2621 0.2621 0.5242  8 Cd 3.28-3.53

Values from the calculation:
size of the total moment: 0.032 μB per atom
DFT formation energy: -0.298 eV per atom

***

NaMg3Sn2: relaxed, GGA-PBE.

a b c (Å): 4.8442 8.8364 8.8553
angles (deg): 120.07 90.00 105.91
With the nearest neighbours (Å) after each atom.
Atoms (fractional coordinates):
Mg: 0.0002 0.0003 0.3336  4 Sn 2.86-3.13, 1 Mg 2.95
Mg: 0.3212 0.6425 0.1160  3 Sn 2.85-3.03
Mg: 0.6788 0.3575 0.8840  3 Sn 2.85-3.03
Sn: 0.5000 0.0001 0.1613  4 Mg 2.85-2.86, 1 Sn 2.86
Mg: 0.6789 0.3578 0.4736  3 Sn 2.85-3.03
Sn: 0.8095 0.6191 0.3094  8 Mg 3.03-3.23
Mg: 0.3211 0.6422 0.5264  3 Sn 2.85-3.03
Mg: 0.9998 0.9997 0.6664  4 Sn 2.86-3.13, 1 Mg 2.95
Sn: 0.1905 0.3809 0.6906  8 Mg 3.03-3.23
Na: 0.8742 0.7484 0.8745  6 Sn 3.35-3.60, 8 Mg 3.37-3.64, 1 Na 3.65
Na: 0.1258 0.2516 0.1255  6 Sn 3.35-3.60, 8 Mg 3.37-3.64, 1 Na 3.65
Sn: 0.5000 0.9999 0.8387  4 Mg 2.85-2.86, 1 Sn 2.86

Values from the calculation:
size of the total moment: 0.000 μB per atom
DFT formation energy: -0.175 eV per atom

***

ReSi: relaxed, GGA-PBE.

a b c (Å): 4.5693 5.3805 3.0146
angles (deg): 73.73 70.74 51.65
With the nearest neighbours (Å) after each atom.
Atoms (fractional coordinates):
Re: 0.8801 0.6102 0.7548  7 Si 2.49-2.74, 2 Re 2.78
Si: 0.3677 0.1357 0.2483  7 Re 2.49-2.74, 2 Si 2.64
Re: 0.0365 0.9731 0.9952  7 Si 2.49-2.74, 2 Re 2.78
Si: 0.5489 0.4476 0.5017  7 Re 2.49-2.74, 2 Si 2.64

Values from the calculation:
size of the total moment: 0.000 μB per atom
formation energy from raw total energies: -47.1 kJ/mol of formula units

***

Dy8Hg4PSe3: relaxed, GGA-PBE.

a b c (Å): 7.9346 8.8731 7.9215
angles (deg): 116.41 120.05 90.00
With the nearest neighbours (Å) after each atom.
Atoms (fractional coordinates):
Dy: 0.2491 0.2786 0.0137  1 P 2.78, 2 Se 2.87, 2 Hg 3.09
Dy: 0.2570 0.2719 0.5141  3 Se 2.87-2.88, 3 Hg 3.08-3.09
Hg: 0.5000 0.0000 0.0000  6 Dy 3.17
P: 0.0000 0.5000 0.0000  6 Dy 2.78-2.79
Dy: 0.2355 0.7211 0.4709  1 P 2.79, 2 Se 2.87, 2 Hg 3.10
Hg: 0.0000 0.0000 0.5000  6 Dy 3.09-3.10
Se: 0.0000 0.5000 0.5000  6 Dy 2.87
Dy: 0.7645 0.2789 0.5291  1 P 2.79, 2 Se 2.87, 2 Hg 3.10
Dy: 0.7430 0.7281 0.4859  3 Se 2.87-2.88, 3 Hg 3.08-3.09
Hg: 0.0000 0.0000 0.0000  6 Dy 3.08-3.09
Hg: 0.5000 0.0000 0.5000  6 Dy 3.09-3.10
Dy: 0.7509 0.7214 0.9863  1 P 2.78, 2 Se 2.87, 2 Hg 3.09
Se: 0.5000 0.5000 0.0000  6 Dy 2.87-2.88
Dy: 0.2354 0.7214 0.9863  1 P 2.78, 2 Se 2.87, 2 Hg 3.09
Se: 0.5000 0.5000 0.5000  6 Dy 2.87
Dy: 0.7646 0.2786 0.0137  1 P 2.78, 2 Se 2.87, 2 Hg 3.09

Values from the calculation:
size of the total moment: 0.000 μB per atom
formation energy from raw total energies: -1669.0 kJ/mol of formula units

***

Zn2OsRh: relaxed, GGA-PBE.

a b c (Å): 6.9112 6.9112 5.5251
angles (deg): 51.29 51.29 90.00
With the nearest neighbours (Å) after each atom.
Atoms (fractional coordinates):
Zn: 0.8750 0.8719 0.7500  2 Rh 2.51, 2 Os 2.54, 2 Zn 2.58
Zn: 0.3750 0.3781 0.7500  2 Rh 2.51, 2 Os 2.54, 2 Zn 2.58
Rh: 0.5000 0.5000 0.0000  4 Zn 2.51, 2 Os 2.58
Rh: 0.2500 0.7500 0.5000  4 Zn 2.51, 2 Os 2.58
Os: 0.0000 0.0000 0.0000  4 Zn 2.54, 2 Rh 2.58
Os: 0.7500 0.2500 0.5000  4 Zn 2.54, 2 Rh 2.58
Zn: 0.6219 0.1250 0.2500  2 Rh 2.51, 2 Os 2.54, 2 Zn 2.58
Zn: 0.1281 0.6250 0.2500  2 Rh 2.51, 2 Os 2.54, 2 Zn 2.58

Values from the calculation:
size of the total moment: 0.191 μB per atom
energy relative to the lowest polymorph listed for this composition: 570.7 meV per atom
DFT formation energy: 0.560 eV per atom

***

NdB3Ru2: relaxed, GGA-PBE.

a b c (Å): 5.5387 5.3353 5.3353
angles (deg): 110.48 90.00 90.00
With the nearest neighbours (Å) after each atom.
Atoms (fractional coordinates):
Nd: 0.2500 0.3353 0.3353  7 B 2.73-3.01, 4 Ru 3.01
Ru: 0.0000 0.8033 0.1967  6 B 2.19-2.38
B: 0.2500 0.5347 0.8818  1 B 1.77
Ru: 0.5000 0.8033 0.1967  6 B 2.19-2.38
B: 0.7500 0.4653 0.1182  1 B 1.77
B: 0.7500 0.1435 0.1435  2 B 1.77
B: 0.2500 0.8818 0.5347  1 B 1.77
B: 0.2500 0.8565 0.8565  2 B 1.77
Ru: 0.0000 0.1967 0.8033  6 B 2.19-2.38
Ru: 0.5000 0.1967 0.8033  6 B 2.19-2.38
B: 0.7500 0.1182 0.4653  1 B 1.77
Nd: 0.7500 0.6647 0.6647  7 B 2.73-3.01, 4 Ru 3.01

Values from the calculation:
size of the total moment: 0.000 μB per atom
DFT formation energy: -0.413 eV per atom

***

B2OF2: relaxed, GGA-PBE.

a b c (Å): 6.8903 6.8903 2.0961
angles (deg): 90.00 90.00 90.00
With the nearest neighbours (Å) after each atom.
Atoms (fractional coordinates):
F: 0.3718 0.8718 0.0000  2 B 1.50
O: 0.0000 0.0000 0.0000  2 O 2.10
F: 0.1282 0.3718 0.0000  2 B 1.50
F: 0.8718 0.6282 0.0000  2 B 1.50
B: 0.7620 0.7380 0.5000  2 F 1.50
B: 0.7380 0.2380 0.5000  2 F 1.50
F: 0.6282 0.1282 0.0000  2 B 1.50
O: 0.5000 0.5000 0.0000  2 O 2.10
B: 0.2380 0.2620 0.5000  2 F 1.50
B: 0.2620 0.7620 0.5000  2 F 1.50

Values from the calculation:
size of the total moment: 0.000 μB per atom
energy relative to the lowest polymorph listed for this composition: 0.0 meV per atom
formation energy from raw total energies: 128.4 kJ/mol of formula units

***

La3Mg7Ge4: relaxed, GGA-PBE.

a b c (Å): 4.4479 8.7553 9.3243
angles (deg): 71.60 76.20 75.28
With the nearest neighbours (Å) after each atom.
Atoms (fractional coordinates):
Ge: 0.6557 0.4483 0.2402  5 Mg 2.74-2.95
Ge: 0.1188 0.1014 0.6610  6 Mg 2.72-2.95
Mg: 0.5103 0.7807 0.1987  3 Ge 2.74-2.87
Ge: 0.8812 0.8986 0.3390  6 Mg 2.72-2.95
Mg: 0.1625 0.6066 0.0684  3 Ge 2.83-2.95, 2 Mg 3.08
Mg: 0.4897 0.2193 0.8013  3 Ge 2.74-2.87
La: 0.3078 0.1819 0.2025  4 Ge 3.25-3.26, 10 Mg 3.33-3.56
La: 0.6922 0.8181 0.7975  4 Ge 3.25-3.26, 10 Mg 3.33-3.56
Ge: 0.3443 0.5517 0.7598  5 Mg 2.74-2.95
La: 0.0000 0.5000 0.5000  6 Ge 3.29-3.35, 4 Mg 3.69
Mg: 0.6801 0.1591 0.4806  4 Ge 2.72-2.84
Mg: 0.0000 0.0000 0.0000  2 Ge 2.95, 6 Mg 3.13-3.22
Mg: 0.8375 0.3934 0.9316  3 Ge 2.83-2.95, 2 Mg 3.08
Mg: 0.3199 0.8409 0.5194  4 Ge 2.72-2.84

Values from the calculation:
size of the total moment: 0.000 μB per atom
DFT formation energy: -0.482 eV per atom

***

Ho4Pu: relaxed, GGA-PBE.

a b c (Å): 3.5472 3.5468 17.3445
angles (deg): 90.02 59.24 120.03
With the nearest neighbours (Å) after each atom.
Atoms (fractional coordinates):
Pu: 0.0000 0.0000 0.0000  6 Ho 3.44, 6 Pu 3.55
Ho: 0.3256 0.6623 0.8025  3 Pu 3.44, 9 Ho 3.48-3.55
Ho: 0.3306 0.6655 0.6009  12 Ho 3.48-3.55
Ho: 0.6694 0.3345 0.3991  12 Ho 3.48-3.55
Ho: 0.6744 0.3377 0.1975  3 Pu 3.44, 9 Ho 3.48-3.55

Values from the calculation:
size of the total moment: 1.185 μB per atom
energy relative to the lowest polymorph listed for this composition: 0.0 meV per atom
DFT formation energy: 0.068 eV per atom

***

CuOsRh2: relaxed, GGA-PBE.

a b c (Å): 2.7122 3.8468 5.2921
angles (deg): 90.00 90.00 90.00
With the nearest neighbours (Å) after each atom.
Atoms (fractional coordinates):
Rh: 0.5000 0.5000 0.2643  2 Os 2.59-2.70, 4 Cu 2.65, 6 Rh 2.71-2.78
Rh: 0.0000 0.0000 0.9850  2 Cu 2.59-2.71, 4 Os 2.65, 6 Rh 2.71-2.78
Cu: 0.0000 0.0000 0.4963  6 Rh 2.59-2.71, 2 Cu 2.71, 4 Os 2.72
Os: 0.5000 0.5000 0.7544  6 Rh 2.59-2.70, 2 Os 2.71, 4 Cu 2.72

Values from the calculation:
size of the total moment: 0.000 μB per atom
energy relative to the lowest polymorph listed for this composition: 126.2 meV per atom
DFT formation energy: 0.149 eV per atom

***

PrZrPd: relaxed, GGA-PBE.

a b c (Å): 4.5274 4.5274 7.9812
angles (deg): 106.48 106.48 90.00
With the nearest neighbours (Å) after each atom.
Atoms (fractional coordinates):
Zr: 0.0000 0.5000 0.0000  4 Pd 2.87, 4 Zr 3.20
Zr: 0.5000 0.0000 0.0000  4 Pd 2.87, 4 Zr 3.20
Pr: 0.6824 0.6824 0.3648  1 Pd 2.87
Pd: 0.1212 0.1212 0.2424  1 Pr 2.87, 4 Zr 2.87
Pd: 0.8788 0.8788 0.7576  1 Pr 2.87, 4 Zr 2.87
Pr: 0.3176 0.3176 0.6352  1 Pd 2.87

Values from the calculation:
size of the total moment: 0.000 μB per atom
energy relative to the lowest polymorph listed for this composition: 0.0 meV per atom
DFT formation energy: -0.412 eV per atom

***

Calculated electronic total energy, -0.3102 -0.2093 -0.1400 -0.2851 -0.1028 -0.2667 -0.0550 -0.0982 -0.0928 -0.3373 -0.1635 -0.1736 -0.2807 -0.1523 -0.1343 -0.2374 -0.2704 -0.2420 hartree per atom (same order as the records).
Calculated theoretical density, 12.35 15.33 6.71 7.88 6.87 17.01 1.71 7.88 3.56 13.04 9.50 11.44 8.52 2.52 4.44 9.84 13.82 7.50 g cm⁻³ (same order as the records).